Here is crystalline Cs2YU3O12 at its relaxed geometry from Alexandria. Energies are from PBE-GGA.

E_form (uncorrected) in eV per atom: -2.92
Total energy in eV/atom: -8.559
Density of states at the Fermi level in states/eV per cell: 14.4
Symmetry: R-3m (166)
Magnetic moment in μB per atom: 0.000

a = 7.8891 Å, b = 7.8891 Å, c = 7.8891 Å
α = 61.66°, β = 61.66°, γ = 61.66°
Closest atoms and distances in Å follow each position.
Fractional positions:
O1 0.9310 0.9310 0.3360  1 U 1.97
O2 0.9310 0.3360 0.9310  1 U 1.97
O3 0.0690 0.0690 0.6640  1 U 1.97
O4 0.9302 0.3100 0.3100  2 U 2.13
O5 0.6640 0.0690 0.0690  1 U 1.97
O6 0.0698 0.6900 0.6900  2 U 2.13
O7 0.3100 0.3100 0.9302  2 U 2.13
O8 0.6900 0.6900 0.0698  2 U 2.13
O9 0.3100 0.9302 0.3100  2 U 2.13
O10 0.6900 0.0698 0.6900  2 U 2.13
O11 0.3360 0.9310 0.9310  1 U 1.97
O12 0.0690 0.6640 0.0690  1 U 1.97
U1 0.0000 0.0000 0.5000  6 O 1.97-2.13
U2 0.5000 0.0000 0.0000  6 O 1.97-2.13
U3 0.0000 0.5000 0.0000  6 O 1.97-2.13
Cs1 0.6204 0.6204 0.6204  9 O 3.51-3.90
Cs2 0.3796 0.3796 0.3796  9 O 3.51-3.90
Y1 0.0000 0.0000 0.0000  6 O 2.27

---

Here is crystalline Cs3YU2O9 at its relaxed geometry from Alexandria. Energies are from PBE-GGA.

E_form (uncorrected) in eV per atom: -2.80
Total energy in eV/atom: -7.878
Density of states at the Fermi level in states/eV per cell: 0.0
Symmetry: P-3m1 (164)
Magnetic moment in μB per atom: 0.000

a = 6.2503 Å, b = 6.2503 Å, c = 7.6496 Å
α = 90.00°, β = 90.00°, γ = 120.00°
Closest atoms and distances in Å follow each position.
Fractional positions:
Cs1 0.3333 0.6667 0.6629  12 O 3.12-3.15
Cs2 0.6667 0.3333 0.3371  12 O 3.12-3.15
Cs3 0.0000 0.0000 0.0000  12 O 3.11-3.13
O1 0.1771 0.8229 0.3200  1 U 2.06
O2 0.8229 0.6459 0.6800  1 U 2.06
O3 0.5000 0.0000 0.0000  2 U 2.21
O4 0.6459 0.8229 0.3200  1 U 2.06
O5 0.1771 0.3541 0.3200  1 U 2.06
O6 0.0000 0.5000 0.0000  2 U 2.21
O7 0.8229 0.1771 0.6800  1 U 2.06
O8 0.5000 0.5000 0.0000  2 U 2.21
O9 0.3541 0.1771 0.6800  1 U 2.06
U1 0.6667 0.3333 0.8339  6 O 2.06-2.21
U2 0.3333 0.6667 0.1661  6 O 2.06-2.21
Y1 0.0000 0.0000 0.5000  6 O 2.36